(1)
Material: CuSbPb2C
Method: DFT, GGA-PBE
State: relaxed

Cell and atoms, written as POSCAR:
```
CuSbPb2C
1.0
5.455 0.000 0.000
0.000 5.455 0.000
0.000 0.000 3.746
Cu Sb Pb C
1 1 2 1
Cartesian
0.000 0.000 0.000
2.727 2.727 0.000
0.000 2.727 1.873
2.727 0.000 1.873
0.000 0.000 1.873
```

Output
energy = -4.33 eV/atom
space-group type = No. 123

***

(2)
Material: TbTmMnAg
Method: DFT, GGA-PBE
State: relaxed

Cell and atoms, written as POSCAR:
```
TbTmMnAg
1.0
0.000 3.583 3.583
3.583 0.000 3.583
3.583 3.583 0.000
Tb Tm Mn Ag
1 1 1 1
Cartesian
0.000 0.000 0.000
3.583 3.583 3.583
5.374 5.374 5.374
1.791 1.791 1.791
```

Output
energy = -5.29 eV/atom
space-group type = No. 216

***

(3)
Material: Tb2GdCd
Method: DFT, GGA-PBE
State: relaxed

Cell and atoms, written as POSCAR:
```
Tb2GdCd
1.0
1.788 1.032 10.875
-1.788 1.032 10.875
0.000 -2.065 10.875
Tb Gd Cd
2 1 1
Cartesian
0.000 0.000 7.968
0.000 0.000 24.658
0.000 0.000 0.000
0.000 0.000 16.313
```

Output
energy = -6.13 eV/atom
distance to the lowest polymorph of the same formula = 7.2 kJ per mole of atoms
space-group type = No. 166

***

What did the second record say?
Material: TbTmMnAg
Method: DFT, GGA-PBE
State: relaxed

Cell and atoms, written as POSCAR:
```
TbTmMnAg
1.0
0.000 3.583 3.583
3.583 0.000 3.583
3.583 3.583 0.000
Tb Tm Mn Ag
1 1 1 1
Cartesian
0.000 0.000 0.000
3.583 3.583 3.583
5.374 5.374 5.374
1.791 1.791 1.791
```

Output
energy = -5.29 eV/atom
space-group type = No. 216

***

Which of these has the highest energy?
CuSbPb2C